This record from the Alexandria database describes crystalline Li2PtS4 at its relaxed geometry. The functional is PBE.

It has space group I4/mmm (No. 139), with a = 4.891 Å, b = 4.891 Å, c = 12.030 Å, α = 90.00°, β = 90.00° and γ = 90.00°. The distinct sites, in fractional coordinates, are Li at (0.000, 0.000, 0.110), Pt at (0.000, 0.000, 0.500), S at (0.000, 0.000, 0.311) and S at (0.000, 0.500, 0.000).

The calculation puts the total magnetization at 0.160 μB per atom. The formation energy (no corrections) is -125 meV/atom.

---

This record from the Alexandria database describes crystalline LiPt2S at its relaxed geometry. The functional is PBE.

It has space group Fm-3m (No. 225), with a = 6.098 Å, b = 6.098 Å, c = 6.098 Å, α = 90.00°, β = 90.00° and γ = 90.00°. The distinct sites, in fractional coordinates, are Li at (0.000, 0.000, 0.000), Pt at (0.250, 0.250, 0.250) and S at (0.000, 0.000, 0.500).

The calculation puts the total magnetization at 0.000 μB per atom. The formation energy (no corrections) is -25 meV/atom. The calculation puts the offset from the most stable computed form at 0.218 eV per atom.

---

This record from the Alexandria database describes crystalline Li3PtS at its relaxed geometry. The functional is PBE.

It has space group Pm-3m (No. 221), with a = 4.461 Å, b = 4.461 Å, c = 4.461 Å, α = 90.00°, β = 90.00° and γ = 90.00°. The distinct sites, in fractional coordinates, are Li at (0.000, 0.000, 0.500), Pt at (0.500, 0.500, 0.500) and S at (0.000, 0.000, 0.000).

The calculation puts the total magnetization at 0.154 μB per atom. The formation energy (no corrections) is -385 meV/atom. The calculation puts the offset from the most stable computed form at 0.000 eV per atom.